DFT (PBE) results for an optimized crystal structure of CdCuGe2H.

Results
Total moment ... 0.0 Bohr magnetons per cell
VASP energy ... -2.783 eV per atom
Fermi-level density of states ... 0.3963 states/eV/atom
Theoretical density ... 5.731 g cm⁻³
Space-group type ... P4/mmm, No. 123

a = 5.2674 Å, b = 5.2674 Å, c = 3.3652 Å
α = 90.00°, β = 90.00°, γ = 90.00°
Sites, in units of the cell vectors:
Cd: 0.0000 0.0000 0.0000
Cu: 0.5000 0.5000 0.5000
Ge: 0.0000 0.5000 0.0000
Ge: 0.5000 0.0000 0.0000
H: 0.0000 0.0000 0.5000